# Na4HoPb15, optimized geometry, DFT PBE-GGA
# * E_form: -0.14 eV per atom
data_Na4HoPb15
_chemical_formula_sum 'Na4 Ho1 Pb15'
_space_group_name_H-M_alt 'P 4/m m m'
_space_group_IT_number 123
_space_group_name_Hall '-P 4 2'
_cell_length_a 4.923
_cell_length_b 4.923
_cell_length_c 24.531
_cell_angle_alpha 90.00
_cell_angle_beta 90.00
_cell_angle_gamma 90.00
loop_
_atom_site_label
_atom_site_type_symbol
_atom_site_fract_x
_atom_site_fract_y
_atom_site_fract_z
Na1 Na 0.000 0.000 0.101
Na2 Na 0.000 0.000 0.302
Ho1 Ho 0.000 0.000 0.500
Pb1 Pb 0.000 0.500 0.000
Pb2 Pb 0.000 0.500 0.201
Pb3 Pb 0.000 0.500 0.402
Pb4 Pb 0.500 0.500 0.100
Pb5 Pb 0.500 0.500 0.300
Pb6 Pb 0.500 0.500 0.500

---

# Al2FeCS, optimized geometry, DFT PBE-GGA
# * raw total energy: -5.5804 eV per atom
data_Al2FeCS
_chemical_formula_sum 'Al2 Fe1 C1 S1'
_space_group_name_H-M_alt 'P 4/m m m'
_space_group_IT_number 123
_space_group_name_Hall '-P 4 2'
_cell_length_a 4.148
_cell_length_b 4.148
_cell_length_c 3.871
_cell_angle_alpha 90.00
_cell_angle_beta 90.00
_cell_angle_gamma 90.00
loop_
_atom_site_label
_atom_site_type_symbol
_atom_site_fract_x
_atom_site_fract_y
_atom_site_fract_z
Al1 Al 0.000 0.500 0.000
Fe1 Fe 0.000 0.000 0.500
C1 C 0.000 0.000 0.000
S1 S 0.500 0.500 0.500

---

# La3Pm5Y4, optimized geometry, DFT PBE-GGA
# * E_form: 0.02 eV per atom
# * ΔE to the lowest computed polymorph: 0.000 eV/atom
data_La3Pm5Y4
_chemical_formula_sum 'La3 Pm5 Y4'
_space_group_name_H-M_alt 'P -1'
_space_group_IT_number 2
_cell_length_a 6.334
_cell_length_b 7.275
_cell_length_c 8.949
_cell_angle_alpha 89.99
_cell_angle_beta 89.86
_cell_angle_gamma 89.98
loop_
_space_group_symop_operation_xyz
'x,y,z'
'-x,-y,-z'
loop_
_atom_site_label
_atom_site_type_symbol
_atom_site_fract_x
_atom_site_fract_y
_atom_site_fract_z
La1 La 0.000 0.000 0.000
La2 La 0.166 0.750 0.333
Pm1 Pm 0.000 0.500 0.000
Pm2 Pm 0.334 0.001 0.666
Pm3 Pm 0.499 0.252 0.999
Y1 Y 0.169 0.251 0.334
Y2 Y 0.334 0.501 0.666